First-principles (PBE-GGA) data for an optimized crystal structure of RbTl2Hg2, as listed in Alexandria via LeMat-Bulk.

a = 9.486 Å, b = 9.486 Å, c = 3.670 Å
α = 90.00°, β = 90.00°, γ = 90.00°
Element x y z (fractional)
Tl (0.144, 0.644, 0.500)
Tl (0.644, 0.856, 0.500)
Tl (0.856, 0.356, 0.500)
Tl (0.356, 0.144, 0.500)
Hg (0.353, 0.853, 0.000)
Hg (0.853, 0.647, 0.000)
Hg (0.647, 0.147, 0.000)
Hg (0.147, 0.353, 0.000)
Rb (0.000, 0.000, 0.000)
Rb (0.500, 0.500, 0.000)

**Formation energy**: -0.088 eV per atom
**Symmetry**: P4/mbm
**Calculated density**: 9.0 g/cm3